FePbWO6: optimized geometry, PBE+U.

a = 4.792 Å, b = 4.792 Å, c = 9.778 Å
α = 90.00°, β = 90.00°, γ = 90.00°
Space group P4_2nm (No. 102)
Symmetry-distinct sites (fractional):
Fe  0.000  0.000  0.000 x2
Pb  0.000  0.000  0.667 x2
W  0.000  0.000  0.334 x2
O  0.180  0.180  0.168 x4
O  0.200  0.200  0.487 x4
O  0.208  0.208  0.843 x4

Output
calculated total energy = -6.64 eV/atom
total moment = 6.00 μB/f.u.